# 1
First-principles (meta-GGA SCAN) data for a crystal of Nd3InS6 relaxed with PBEsol, as listed in Alexandria.

Cell lengths 13.653, 16.583, 3.926 Å; angles 90.00, 90.00, 90.00 degrees
Fractional positions:
Nd1 0.042 0.223 0.250
Nd2 0.187 0.646 0.250
Nd3 0.248 0.895 0.749
Nd4 0.252 0.395 0.251
Nd5 0.313 0.146 0.750
Nd6 0.458 0.723 0.750
Nd7 0.542 0.277 0.750
Nd8 0.687 0.854 0.750
Nd9 0.748 0.605 0.251
Nd10 0.752 0.105 0.749
Nd11 0.813 0.354 0.250
Nd12 0.958 0.777 0.250
In1 0.000 0.000 0.747
In2 0.000 0.500 0.751
In3 0.500 0.000 0.249
In4 0.500 0.500 0.253
S1 0.023 0.397 0.251
S2 0.093 0.916 0.249
S3 0.110 0.749 0.750
S4 0.113 0.114 0.750
S5 0.182 0.286 0.750
S6 0.190 0.520 0.750
S7 0.310 0.020 0.250
S8 0.318 0.786 0.250
S9 0.387 0.614 0.250
S10 0.390 0.249 0.250
S11 0.407 0.416 0.751
S12 0.477 0.897 0.749
S13 0.523 0.103 0.749
S14 0.593 0.584 0.751
S15 0.610 0.751 0.250
S16 0.613 0.386 0.250
S17 0.682 0.214 0.250
S18 0.690 0.980 0.250
S19 0.810 0.480 0.750
S20 0.818 0.714 0.750
S21 0.887 0.886 0.750
S22 0.890 0.251 0.750
S23 0.907 0.084 0.249
S24 0.977 0.603 0.251

Properties
As for the final energy: -24.16 eV per atom. Its space group is P2_12_12 (18).

# 2
First-principles (meta-GGA SCAN) data for a crystal of Nd4In5S13 relaxed with PBEsol, as listed in Alexandria.

Cell lengths 11.839, 21.274, 3.911 Å; angles 90.00, 90.00, 90.00 degrees
Fractional positions:
Nd1 0.018 0.168 0.000
Nd2 0.169 0.342 0.000
Nd3 0.331 0.842 0.000
Nd4 0.482 0.668 0.000
Nd5 0.518 0.332 0.000
Nd6 0.669 0.158 0.000
Nd7 0.831 0.658 0.000
Nd8 0.982 0.832 0.000
In1 0.000 0.500 0.000
In2 0.152 0.670 0.500
In3 0.155 0.992 0.500
In4 0.345 0.492 0.500
In5 0.348 0.170 0.500
In6 0.500 0.000 0.000
In7 0.652 0.830 0.500
In8 0.655 0.508 0.500
In9 0.845 0.008 0.500
In10 0.848 0.330 0.500
S1 0.000 0.000 0.000
S2 0.004 0.409 0.500
S3 0.078 0.261 0.500
S4 0.152 0.867 0.500
S5 0.163 0.113 0.500
S6 0.169 0.740 0.000
S7 0.204 0.478 0.000
S8 0.296 0.978 0.000
S9 0.331 0.240 0.000
S10 0.337 0.613 0.500
S11 0.348 0.367 0.500
S12 0.422 0.761 0.500
S13 0.496 0.909 0.500
S14 0.500 0.500 0.000
S15 0.504 0.091 0.500
S16 0.578 0.239 0.500
S17 0.652 0.633 0.500
S18 0.663 0.387 0.500
S19 0.669 0.760 0.000
S20 0.704 0.022 0.000
S21 0.796 0.522 0.000
S22 0.831 0.260 0.000
S23 0.837 0.887 0.500
S24 0.848 0.133 0.500
S25 0.922 0.739 0.500
S26 0.996 0.591 0.500

Properties
As for the final energy: -22.64 eV per atom. Its space group is Pbam (55). The density of states at the Fermi level comes out at 3.411 states/eV/f.u.

# 3
First-principles (meta-GGA SCAN) data for a crystal of Nd6TiInS12 relaxed with PBEsol, as listed in Alexandria.

Cell lengths 13.666, 16.140, 3.876 Å; angles 90.00, 90.00, 90.00 degrees
Fractional positions:
Nd1 0.050 0.216 0.000
Nd2 0.182 0.651 0.000
Nd3 0.240 0.901 0.500
Nd4 0.260 0.401 0.000
Nd5 0.318 0.151 0.500
Nd6 0.450 0.716 0.500
Nd7 0.550 0.284 0.500
Nd8 0.682 0.849 0.500
Nd9 0.740 0.599 0.000
Nd10 0.760 0.099 0.500
Nd11 0.818 0.349 0.000
Nd12 0.950 0.784 0.000
Ti1 0.000 0.000 0.500
Ti2 0.500 0.500 0.000
In1 0.000 0.500 0.500
In2 0.500 0.000 0.000
S1 0.025 0.394 0.000
S2 0.083 0.927 0.000
S3 0.102 0.757 0.500
S4 0.123 0.101 0.500
S5 0.186 0.287 0.500
S6 0.190 0.522 0.500
S7 0.310 0.022 0.000
S8 0.314 0.787 0.000
S9 0.377 0.601 0.000
S10 0.398 0.257 0.000
S11 0.417 0.427 0.500
S12 0.475 0.894 0.500
S13 0.525 0.106 0.500
S14 0.583 0.573 0.500
S15 0.602 0.743 0.000
S16 0.623 0.399 0.000
S17 0.686 0.213 0.000
S18 0.690 0.978 0.000
S19 0.810 0.478 0.500
S20 0.814 0.713 0.500
S21 0.877 0.899 0.500
S22 0.898 0.243 0.500
S23 0.917 0.073 0.000
S24 0.975 0.606 0.000

Properties
As for the final energy: -23.40 eV per atom. Its space group is Pnnm (58). The density of states at the Fermi level comes out at 2.585 states/eV/f.u.

# 4
First-principles (meta-GGA SCAN) data for a crystal of Nd2In3Sn3 relaxed with PBEsol, as listed in Alexandria.

Cell lengths 4.657, 4.748, 9.156 Å; angles 90.00, 90.00, 90.00 degrees
Fractional positions:
Nd1 0.000 0.000 0.248
Nd2 0.000 0.000 0.752
In1 0.000 0.500 0.500
In2 0.500 0.500 0.253
In3 0.500 0.500 0.747
Sn1 0.000 0.500 0.000
Sn2 0.500 0.000 0.000
Sn3 0.500 0.000 0.500

Properties
The formation energy from the elements is -0.59 eV per atom. Its space group is Pmmm (47). The density of states at the Fermi level comes out at 3.008 states/eV/f.u.

# 5
First-principles (meta-GGA SCAN) data for a crystal of NdTl2InTe4 relaxed with PBEsol, as listed in Alexandria.

Cell lengths 6.875, 6.875, 6.875 Å; angles 107.73, 107.73, 113.01 degrees
Fractional positions:
Nd1 0.000 0.000 0.000
Tl1 0.000 0.500 0.500
Tl2 0.500 0.000 0.500
In1 0.500 0.500 0.000
Te1 0.080 0.476 0.000
Te2 0.476 0.080 0.000
Te3 0.524 0.524 0.604
Te4 0.920 0.920 0.396

Properties
As for the final energy: -47.02 eV per atom. Its space group is I-42m (121).

# 6
First-principles (meta-GGA SCAN) data for a crystal of Nd2TlIn relaxed with PBEsol, as listed in Alexandria.

Cell lengths 5.407, 5.407, 5.407 Å; angles 60.00, 60.00, 60.00 degrees
Fractional positions:
Nd1 0.250 0.250 0.250
Nd2 0.750 0.750 0.750
Tl1 0.000 0.000 0.000
In1 0.500 0.500 0.500

Properties
The formation energy from the elements is -0.63 eV per atom. Its space group is Fm-3m (225). The density of states at the Fermi level comes out at 2.430 states/eV/f.u.

# 7
First-principles (meta-GGA SCAN) data for a crystal of NdTmIn2 relaxed with PBEsol, as listed in Alexandria.

Cell lengths 5.273, 5.273, 5.273 Å; angles 60.00, 60.00, 60.00 degrees
Fractional positions:
Nd1 0.000 0.000 0.000
Tm1 0.500 0.500 0.500
In1 0.250 0.250 0.250
In2 0.750 0.750 0.750

Properties
The formation energy from the elements is -0.61 eV per atom. Its space group is Fm-3m (225). The density of states at the Fermi level comes out at 1.993 states/eV/f.u.

# 8
First-principles (meta-GGA SCAN) data for a crystal of NdYIn2 relaxed with PBEsol, as listed in Alexandria.

Cell lengths 5.307, 5.307, 5.307 Å; angles 60.00, 60.00, 60.00 degrees
Fractional positions:
Nd1 0.000 0.000 0.000
Y1 0.500 0.500 0.500
In1 0.250 0.250 0.250
In2 0.750 0.750 0.750

Properties
The formation energy from the elements is -0.67 eV per atom. Its space group is Fm-3m (225). The density of states at the Fermi level comes out at 1.633 states/eV/f.u.

# 9
First-principles (meta-GGA SCAN) data for a crystal of NdZnIn relaxed with PBEsol, as listed in Alexandria.

Cell lengths 4.659, 4.659, 7.470 Å; angles 90.00, 90.00, 120.00 degrees
Fractional positions:
Nd1 0.000 0.000 0.000
Nd2 0.000 0.000 0.500
Zn1 0.333 0.667 0.250
Zn2 0.667 0.333 0.750
In1 0.333 0.667 0.750
In2 0.667 0.333 0.250

Properties
The formation energy from the elements is -0.59 eV per atom. Its space group is P6_3/mmc (194). The density of states at the Fermi level comes out at 2.142 states/eV/f.u.

# 10
First-principles (meta-GGA SCAN) data for a crystal of In7Ni3 relaxed with PBEsol, as listed in Alexandria.

Cell lengths 7.902, 7.902, 7.902 Å; angles 109.47, 109.47, 109.47 degrees
Fractional positions:
In1 0.000 0.000 0.321
In2 0.000 0.000 0.679
In3 0.000 0.321 0.000
In4 0.000 0.679 0.000
In5 0.250 0.500 0.750
In6 0.250 0.750 0.500
In7 0.321 0.000 0.000
In8 0.321 0.321 0.321
In9 0.500 0.250 0.750
In10 0.500 0.750 0.250
In11 0.679 0.000 0.000
In12 0.679 0.679 0.679
In13 0.750 0.250 0.500
In14 0.750 0.500 0.250
Ni1 0.000 0.355 0.355
Ni2 0.000 0.645 0.645
Ni3 0.355 0.000 0.355
Ni4 0.355 0.355 0.000
Ni5 0.645 0.000 0.645
Ni6 0.645 0.645 0.000

Properties
The formation energy from the elements is -0.14 eV per atom. Its space group is Im-3m (229). The density of states at the Fermi level comes out at 1.276 states/eV/f.u.

# 11
First-principles (meta-GGA SCAN) data for a crystal of In3Ni2 relaxed with PBEsol, as listed in Alexandria.

Cell lengths 6.950, 6.950, 3.304 Å; angles 90.00, 90.00, 146.56 degrees
Fractional positions:
In1 0.000 0.000 0.000
In2 0.350 0.650 0.500
In3 0.650 0.350 0.500
Ni1 0.190 0.810 0.000
Ni2 0.810 0.190 0.000

Properties
The formation energy from the elements is -0.04 eV per atom. Its space group is Cmmm (65). The density of states at the Fermi level comes out at 2.290 states/eV/f.u.

# 12
First-principles (meta-GGA SCAN) data for a crystal of In2Ni relaxed with PBEsol, as listed in Alexandria.

Cell lengths 4.773, 4.773, 2.867 Å; angles 90.00, 90.00, 120.00 degrees
Fractional positions:
In1 0.333 0.667 0.000
In2 0.667 0.333 0.000
Ni1 0.000 0.000 0.500

Properties
The formation energy from the elements is 0.48 eV per atom. Its space group is P6/mmm (191). The density of states at the Fermi level comes out at 1.913 states/eV/f.u.

# 13
First-principles (meta-GGA SCAN) data for a crystal of InNi2 relaxed with PBEsol, as listed in Alexandria.

Cell lengths 6.023, 6.023, 3.895 Å; angles 90.00, 90.00, 145.63 degrees
Fractional positions:
In1 0.095 0.905 0.750
In2 0.905 0.095 0.250
Ni1 0.248 0.752 0.250
Ni2 0.410 0.590 0.750
Ni3 0.590 0.410 0.250
Ni4 0.752 0.248 0.750

Properties
The formation energy from the elements is 0.02 eV per atom. Its space group is Cmcm (63). The density of states at the Fermi level comes out at 2.361 states/eV/f.u.

# 14
First-principles (meta-GGA SCAN) data for a crystal of In2Ni relaxed with PBEsol, as listed in Alexandria.

Cell lengths 3.181, 3.181, 6.422 Å; angles 90.00, 90.00, 120.00 degrees
Fractional positions:
In1 0.333 0.667 0.292
In2 0.667 0.333 0.708
Ni1 0.000 0.000 0.000

Properties
The formation energy from the elements is 0.13 eV per atom. Its space group is P-3m1 (164). The density of states at the Fermi level comes out at 1.905 states/eV/f.u.

# 15
First-principles (meta-GGA SCAN) data for a crystal of In4Ni relaxed with PBEsol, as listed in Alexandria.

Cell lengths 5.256, 5.256, 5.256 Å; angles 109.47, 109.47, 109.47 degrees
Fractional positions:
In1 0.000 0.000 0.500
In2 0.000 0.500 0.000
In3 0.500 0.000 0.000
In4 0.500 0.500 0.500
Ni1 0.000 0.000 0.000

Properties
The formation energy from the elements is -0.03 eV per atom. Its space group is Im-3m (229). The density of states at the Fermi level comes out at 1.980 states/eV/f.u.

# 16
First-principles (meta-GGA SCAN) data for a crystal of InNi3 relaxed with PBEsol, as listed in Alexandria.

Cell lengths 3.680, 3.680, 3.680 Å; angles 90.00, 90.00, 90.00 degrees
Fractional positions:
In1 0.000 0.000 0.000
Ni1 0.000 0.500 0.500
Ni2 0.500 0.000 0.500
Ni3 0.500 0.500 0.000

Properties
The formation energy from the elements is 0.00 eV per atom. Its space group is Pm-3m (221). The density of states at the Fermi level comes out at 2.172 states/eV/f.u.

# 17
First-principles (meta-GGA SCAN) data for a crystal of In2Ni relaxed with PBEsol, as listed in Alexandria.

Cell lengths 6.269, 6.269, 6.269 Å; angles 151.75, 151.75, 40.37 degrees
Fractional positions:
In1 0.138 0.138 0.000
In2 0.862 0.862 0.000
Ni1 0.500 0.500 0.000

Properties
The formation energy from the elements is 0.09 eV per atom. Its space group is I4/mmm (139). The density of states at the Fermi level comes out at 1.810 states/eV/f.u.

# 18
First-principles (meta-GGA SCAN) data for a crystal of InNi3 relaxed with PBEsol, as listed in Alexandria.

Cell lengths 5.260, 5.260, 4.163 Å; angles 90.00, 90.00, 120.00 degrees
Fractional positions:
In1 0.333 0.667 0.250
In2 0.667 0.333 0.750
Ni1 0.157 0.314 0.750
Ni2 0.157 0.843 0.750
Ni3 0.314 0.157 0.250
Ni4 0.686 0.843 0.750
Ni5 0.843 0.157 0.250
Ni6 0.843 0.686 0.250

Properties
The formation energy from the elements is -0.02 eV per atom. Its space group is P6_3/mmc (194). The density of states at the Fermi level comes out at 3.156 states/eV/f.u.

# 19
First-principles (meta-GGA SCAN) data for a crystal of InNi3 relaxed with PBEsol, as listed in Alexandria.

Cell lengths 4.407, 4.407, 4.407 Å; angles 129.46, 129.46, 74.26 degrees
Fractional positions:
In1 0.000 0.000 0.000
Ni1 0.250 0.750 0.500
Ni2 0.500 0.500 0.000
Ni3 0.750 0.250 0.500

Properties
The formation energy from the elements is 0.02 eV per atom. Its space group is I4/mmm (139). The density of states at the Fermi level comes out at 4.842 states/eV/f.u.

# 20
First-principles (meta-GGA SCAN) data for a crystal of In2Ni relaxed with PBEsol, as listed in Alexandria.

Cell lengths 4.412, 4.412, 2.948 Å; angles 90.00, 90.00, 90.00 degrees
Fractional positions:
In1 0.000 0.500 0.000
In2 0.500 0.000 0.000
Ni1 0.000 0.000 0.500

Properties
The formation energy from the elements is -0.09 eV per atom. Its space group is P4/mmm (123). The density of states at the Fermi level comes out at 1.465 states/eV/f.u.

# 21
First-principles (meta-GGA SCAN) data for a crystal of In2Ni relaxed with PBEsol, as listed in Alexandria.

Cell lengths 5.231, 5.231, 5.231 Å; angles 105.47, 105.47, 117.81 degrees
Fractional positions:
In1 0.175 0.675 0.849
In2 0.325 0.175 0.500
In3 0.675 0.825 0.500
In4 0.825 0.325 0.151
Ni1 0.250 0.250 0.000
Ni2 0.750 0.750 0.000

Properties
The formation energy from the elements is -0.09 eV per atom. Its space group is I4/mcm (140). The density of states at the Fermi level comes out at 1.392 states/eV/f.u.

# 22
First-principles (meta-GGA SCAN) data for a crystal of In3Ni2 relaxed with PBEsol, as listed in Alexandria.

Cell lengths 4.354, 4.354, 5.266 Å; angles 90.00, 90.00, 120.00 degrees
Fractional positions:
In1 0.000 0.000 0.000
In2 0.333 0.667 0.354
In3 0.667 0.333 0.646
Ni1 0.333 0.667 0.859
Ni2 0.667 0.333 0.141

Properties
The formation energy from the elements is -0.18 eV per atom. Its space group is P-3m1 (164). The density of states at the Fermi level comes out at 1.426 states/eV/f.u.

These records have size of the total moment values of 0.00; 0.00; 0.64; 0.00; 0.00; 0.00; 0.00; 0.00; 0.00; 0.00; 0.00; 0.00; 0.00; 0.00; 0.00; 0.99; 0.00; 0.98; 0.97; 0.00; 0.00; 0.00 μB/f.u., in the order they appear.